A plane-wave DFT calculation with GGA-PBEsol was carried out for an optimized crystal structure of KTlPCl2.

The space group is P4/mmm (No. 123) and the conventional cell measures 5.701, 5.701 and 5.785 Å, with angles of 90.00, 90.00 and 90.00 degrees. The asymmetric unit holds K at (0.000, 0.000, 0.000), Tl at (0.500, 0.500, 0.500), P at (0.000, 0.000, 0.500) and Cl at (0.000, 0.500, 0.000).

The formation energy without anion corrections comes out at -0.019 eV per atom. For the total moment, the calculation gives 3.1 μB/f.u.